No. 1
## TeSeCl4 (PBE-GGA)

Data for a relaxed TeSeCl4 crystal.

Structure (POSCAR):
```
TeSeCl4
1.0
0.0000 4.1534 4.1534
4.1534 0.0000 4.1534
4.1534 4.1534 0.0000
Te Se Cl
1 1 4
direct
0.0000 0.0000 0.0000
0.2500 0.2500 0.2500
0.1249 0.6250 0.6250
0.6250 0.1249 0.6250
0.6250 0.6250 0.1249
0.6250 0.6250 0.6250
```

Summary:
The symmetry is F-43m. The volume is 143.3 Å³/cell. For the uncorrected formation energy, the calculation gives 0.833 eV/atom.

No. 2
## SnAu2F8 (PBE-GGA)

Data for a relaxed SnAu2F8 crystal.

Structure (POSCAR):
```
SnAu2F8
1.0
5.2831 0.0000 0.0000
-1.8986 5.7086 0.0000
-1.5743 -0.9517 5.8332
Sn Au F
1 2 8
direct
0.0000 0.0000 0.0000
0.2447 0.6539 0.5865
0.7553 0.3461 0.4135
0.1800 0.7706 0.8813
0.1978 0.2394 0.8505
0.3260 0.5605 0.3110
0.3317 0.0851 0.2901
0.6683 0.9149 0.7099
0.6740 0.4395 0.6890
0.8022 0.7606 0.1495
0.8200 0.2294 0.1187
```

Summary:
The symmetry is P-1. The volume is 175.9 Å³/cell. For the uncorrected formation energy, the calculation gives -1.547 eV/atom.

| no. | density (Mg/m³) |
| --- | --- |
| 1 | 4.04 |
| 2 | 6.27 |